Computed, not measured: a geometry-optimized MnNi2Rh structure at the PBE-GGA level of DFT.

Structure (CIF):
```
data_MnNi2Rh
_symmetry_space_group_name_H-M 'I -4 2 d'
_symmetry_Int_Tables_number 122
_symmetry_space_group_name_Hall 'I -4 2bw'
_cell_length_a 6.471
_cell_length_b 6.471
_cell_length_c 4.870
_cell_angle_alpha 90.00
_cell_angle_beta 90.00
_cell_angle_gamma 90.00
loop_
_atom_site_label
_atom_site_type_symbol
_atom_site_fract_x
_atom_site_fract_y
_atom_site_fract_z
Mn1 Mn 0.000 0.000 0.000
Ni1 Ni 0.220 0.750 0.125
Rh1 Rh 0.000 0.000 0.500
```

Computed properties:
Formation enthalpy at 0 K ... 0.557 eV/atom